The following is a GGA-PBE calculation of a relaxed structure of BeTlIn2, from the Alexandria database.

Cell and atoms, written as POSCAR:
```
BeTlIn2
1.0
2.111 -2.492 0.000
2.111 2.492 0.000
0.000 0.000 8.916
Be Tl In
1 1 2
direct
0.000 0.000 0.000
0.000 0.000 0.500
0.500 0.500 0.188
0.500 0.500 0.812
```

Calculated values
Crystal system: orthorhombic
Calculated formation energy in eV/atom: 0.318
Density in g/cm³: 7.84
Electronic total energy in eV per atom: -2.5744